No. 1
VASP calculation (GGA-PBE) on a geometry-optimized Ho5In2Ga structure.

energy of formation from the pure elements: -0.31 eV/atom
M_tot: 0.00 Bohr magnetons per cell
SG: Fmm2, No. 42
density of states at the Fermi level: 8.1 states/eV/f.u.

abc: 6.846 6.846 6.620
angles: 121.14 121.14 90.00
Sites, in units of the cell vectors:
Ho 0.222 0.722 0.944
In 0.222 0.722 0.444
In 0.722 0.222 0.444
Ga 0.223 0.222 0.444
Ho 0.222 0.222 0.944
Ho 0.722 0.222 0.945
Ho 0.722 0.722 0.944
Ho 0.722 0.722 0.444

No. 2
VASP calculation (GGA-PBE) on a geometry-optimized CoPtCl2 structure.

M_tot: 3.71 Bohr magnetons per cell
SG: P4/mmm, No. 123
formation energy without anion corrections: 193 kJ/mol of formula units
density of states at the Fermi level: 4.3 states/eV/f.u.

abc: 2.885 2.885 10.120
angles: 90.00 90.00 90.00
Sites, in units of the cell vectors:
Cl 0.000 0.000 0.400
Cl 0.000 0.000 0.100
Co 0.500 0.500 0.250
Pt 0.500 0.500 0.750

No. 3
VASP calculation (GGA-PBE) on a geometry-optimized SrAlCdAg3 structure.

energy of formation from the pure elements: -0.07 eV/atom
M_tot: 0.00 Bohr magnetons per cell
SG: Cmcm, No. 63
density of states at the Fermi level: 2.3 states/eV/f.u.

abc: 6.626 6.500 7.443
angles: 115.89 90.00 90.00
Sites, in units of the cell vectors:
Ag 0.500 0.284 0.000
Ag 0.500 0.716 0.000
Ag 0.250 0.144 0.287
Ag 0.000 0.716 0.000
Sr 0.250 0.704 0.408
Ag 0.000 0.284 0.000
Sr 0.750 0.296 0.592
Cd 0.750 0.646 0.292
Al 0.250 0.944 0.888
Al 0.750 0.056 0.112
Cd 0.250 0.354 0.708
Ag 0.750 0.856 0.713

No. 4
VASP calculation (GGA-PBE) on a geometry-optimized Lu2MgSe4 structure.

M_tot: 0.00 Bohr magnetons per cell
SG: Pnma, No. 62
formation energy without anion corrections: -1092 kJ/mol of formula units
density of states at the Fermi level: 0.0 states/eV/f.u.

abc: 3.957 13.003 13.841
angles: 90.00 90.00 90.00
Sites, in units of the cell vectors:
Lu 0.750 0.856 0.299
Se 0.250 0.743 0.985
Se 0.750 0.757 0.485
Se 0.250 0.030 0.881
Se 0.250 0.489 0.119
Se 0.750 0.778 0.751
Lu 0.750 0.386 0.575
Se 0.250 0.243 0.515
Mg 0.250 0.887 0.548
Lu 0.750 0.886 0.925
Se 0.750 0.970 0.119
Lu 0.250 0.644 0.799
Se 0.750 0.257 0.015
Se 0.250 0.222 0.249
Se 0.250 0.989 0.381
Mg 0.750 0.113 0.452
Lu 0.250 0.114 0.075
Se 0.750 0.470 0.381
Lu 0.250 0.144 0.701
Mg 0.250 0.387 0.952
Lu 0.750 0.356 0.201
Se 0.750 0.278 0.749
Se 0.250 0.722 0.251
Se 0.250 0.530 0.619
Se 0.750 0.511 0.881
Se 0.750 0.011 0.619
Lu 0.250 0.614 0.425
Mg 0.750 0.613 0.048

No. 5
VASP calculation (GGA-PBE) on a geometry-optimized Tm2MgN structure.

M_tot: 0.00 Bohr magnetons per cell
SG: R-3m, No. 166
formation energy without anion corrections: -333 kJ/mol of formula units
density of states at the Fermi level: 3.6 states/eV/f.u.

abc: 3.426 3.426 8.404
angles: 78.24 78.24 60.00
Sites, in units of the cell vectors:
N 0.000 0.000 0.000
Mg 0.500 0.500 0.500
Tm 0.279 0.279 0.162
Tm 0.721 0.721 0.838

No. 6
VASP calculation (GGA-PBE) on a geometry-optimized La4DyTm2 structure.

energy of formation from the pure elements: 0.23 eV/atom
M_tot: 0.00 Bohr magnetons per cell
SG: Imma, No. 74
density of states at the Fermi level: 10.3 states/eV/f.u.

abc: 6.962 9.057 9.057
angles: 79.32 67.40 67.40
Sites, in units of the cell vectors:
La 0.209 0.758 0.258
Dy 0.500 0.500 0.000
La 0.226 0.242 0.742
La 0.155 0.845 0.846
La 0.774 0.758 0.258
La 0.845 0.155 0.154
Tm 0.500 0.500 0.500
Tm 0.500 0.000 0.000
La 0.791 0.242 0.742
Tm 0.286 0.964 0.464
Dy 0.000 0.500 0.000
La 0.155 0.346 0.345
Tm 0.714 0.036 0.536
La 0.845 0.654 0.655

No. 7
VASP calculation (GGA-PBE) on a geometry-optimized CaY2As structure.

energy of formation from the pure elements: -0.22 eV/atom
M_tot: 0.00 Bohr magnetons per cell
SG: C2/m, No. 12
density of states at the Fermi level: 3.5 states/eV/f.u.

abc: 6.097 6.249 3.485
angles: 76.94 83.79 117.24
Sites, in units of the cell vectors:
As 0.000 0.500 0.500
Y 0.500 0.000 0.500
Y 0.000 0.000 0.000
Ca 0.500 0.500 0.000

No. 8
VASP calculation (GGA-PBE) on a geometry-optimized Mn2PtPb structure.

energy of formation from the pure elements: 0.37 eV/atom
M_tot: 7.33 Bohr magnetons per cell
SG: R3m, No. 160
density of states at the Fermi level: 2.9 states/eV/f.u.

abc: 9.382 9.382 9.382
angles: 18.55 18.55 18.55
Sites, in units of the cell vectors:
Pb 0.499 0.499 0.499
Mn 0.259 0.259 0.259
Mn 0.001 0.001 0.001
Pt 0.741 0.741 0.741

No. 9
VASP calculation (GGA-PBE) on a geometry-optimized Ca2YNpS4 structure.

M_tot: 4.74 Bohr magnetons per cell
SG: P2/m, No. 10
formation energy without anion corrections: -1431 kJ/mol of formula units
density of states at the Fermi level: 11.6 states/eV/f.u.

abc: 3.958 6.855 6.952
angles: 109.31 90.00 90.00
Sites, in units of the cell vectors:
Ca 0.000 0.500 0.500
Y 0.500 0.500 0.000
S 0.500 0.750 0.754
S 0.000 0.254 0.754
Np 0.000 0.000 0.000
S 0.500 0.250 0.246
Ca 0.500 0.000 0.500
S 0.000 0.746 0.246

No. 10
VASP calculation (GGA-PBE) on a geometry-optimized KTl2Te structure.

M_tot: 0.00 Bohr magnetons per cell
SG: F-43m, No. 216
formation energy without anion corrections: -109 kJ/mol of formula units
density of states at the Fermi level: 4.5 states/eV/f.u.

abc: 5.796 5.796 5.796
angles: 60.00 60.00 60.00
Sites, in units of the cell vectors:
K 0.500 0.500 0.500
Te 0.750 0.750 0.750
Tl 0.000 0.000 0.000
Tl 0.250 0.250 0.250

No. 11
VASP calculation (GGA-PBE) on a geometry-optimized LaY4Tm8 structure.

energy of formation from the pure elements: 0.55 eV/atom
M_tot: 1.94 Bohr magnetons per cell
SG: R-3m, No. 166
density of states at the Fermi level: 22.6 states/eV/f.u.

abc: 7.744 7.744 7.744
angles: 90.11 90.11 90.11
Sites, in units of the cell vectors:
Tm 0.761 0.761 0.761
Tm 0.239 0.239 0.760
Tm 0.239 0.239 0.239
Tm 0.240 0.761 0.761
La 0.500 0.500 0.500
Tm 0.760 0.239 0.239
Tm 0.761 0.761 0.240
Tm 0.761 0.240 0.761
Tm 0.239 0.760 0.239
Y 0.500 0.000 0.500
Y 0.500 0.500 0.000
Y 0.000 0.500 0.500
Y 0.000 0.000 0.000

No. 12
VASP calculation (GGA-PBE) on a geometry-optimized Th3ReBi structure.

energy of formation from the pure elements: -0.12 eV/atom
M_tot: 0.00 Bohr magnetons per cell
SG: Cmmm, No. 65
density of states at the Fermi level: 5.3 states/eV/f.u.

abc: 5.340 7.805 8.464
angles: 117.46 90.00 90.00
Sites, in units of the cell vectors:
Th 0.500 0.000 0.500
Re 0.500 0.893 0.787
Th 0.500 0.698 0.000
Re 0.500 0.107 0.213
Bi 0.000 0.360 0.720
Th 0.500 0.500 0.500
Th 0.000 0.874 0.749
Bi 0.000 0.640 0.280
Th 0.000 0.126 0.251
Th 0.500 0.302 0.000